Here is a relaxed structure of K2MgW from Alexandria. Energies are from PBE.

Cell lengths 5.1867, 5.1867, 9.7884 Å; angles 88.60, 88.60, 32.01 degrees
With the nearest neighbours (Å) after each atom.
Atoms (fractional coordinates):
1 K 0.9949 0.9949 0.0768  2 K 2.86
2 K 0.7539 0.7539 0.6724  2 K 2.86
3 Mg 0.5080 0.5080 0.4195  3 W 2.80-2.86, 2 Mg 2.86
4 W 0.2432 0.2432 0.3313  3 Mg 2.80-2.86, 2 W 2.86

N(E_F) = 2.85 states/eV/cell
VASP energy = -0.112 Ha/atom
space group = Cm, No. 8